A relaxed structure of Nb2Bi2Au. Source: Alexandria via LeMat-Bulk, functional PBE.

Results
DFT formation energy	2.3	eV per formula unit
SG	P4/mbm
total moment	0.000	μB per formula unit
mass density	11.540	g/cm³

Geometry as POSCAR:
```
Nb2Bi2Au
1.0
-4.1665 3.9991 5.6459
-1.5798 -6.9664 3.7685
2.9466 0.3673 1.9143
Au Bi Nb
2 4 4
Direct
0.0000 0.0000 0.0000
0.5000 0.5000 0.0000
0.3339 0.8339 0.0000
0.6661 0.1661 0.0000
0.1661 0.3339 0.0000
0.8339 0.6661 0.0000
0.3771 0.1229 0.5000
0.8771 0.3771 0.5000
0.6229 0.8771 0.5000
0.1229 0.6229 0.5000
```


A relaxed structure of Cu2ReSe. Source: Alexandria via LeMat-Bulk, functional PBE.

Results
SG	I-42d
E_form (uncorrected)	2.806	eV/f.u.
total moment	0.805	μB per formula unit
mass density	10.682	g/cm³

Geometry as POSCAR:
```
Cu2ReSe
1.0
7.0927 0.0000 0.0000
0.0000 7.0927 0.0000
3.5464 3.5464 2.4242
Se Re Cu
2 2 4
Direct
0.2500 0.7500 0.5000
0.5000 0.5000 0.0000
0.0000 0.0000 0.0000
0.7500 0.2500 0.5000
0.1388 0.6250 0.2500
0.8750 0.8612 0.7500
0.6112 0.1250 0.2500
0.3750 0.3888 0.7500
```


A relaxed structure of LiTb3O4. Source: Alexandria via LeMat-Bulk, functional PBE.

Results
SG	Pm-3m
E_form (uncorrected)	-22.744	eV/f.u.
total moment	0.000	μB per formula unit
mass density	8.505	g/cm³

Geometry as POSCAR:
```
LiTb3O4
1.0
4.7465 0.0000 0.0000
0.0000 4.7465 0.0000
0.0000 0.0000 4.7465
Tb O Li
3 4 1
Direct
0.5000 0.5000 0.0000
0.5000 0.0000 0.5000
0.0000 0.5000 0.5000
0.0000 0.5000 0.0000
0.5000 0.0000 0.0000
0.0000 0.0000 0.5000
0.5000 0.5000 0.5000
0.0000 0.0000 0.0000
```